The following is a PBE-GGA calculation of a relaxed SmErCu2Si2 crystal, from OQMD.

Values from the calculation:
Magnetization: 0.0 μB/cell
ρ: 7.3 Mg/m³
E_tot: -31.516 eV/f.u.

POSCAR file:
```
SmErCu2Si2
1.0
4.154 0.000 0.000
-2.077 3.598 0.000
0.000 0.000 7.608
Cu Sm Er Si
2 1 1 2
Direct
0.667 0.333 0.738
0.333 0.667 0.262
0.000 0.000 0.000
0.000 0.000 0.500
0.333 0.667 0.741
0.667 0.333 0.259
```